No. 1
# HfMgNb3, optimized geometry, DFT GGA-PBE
# uncorrected energy	-34.5	eV/cell
# ΔE_f	1.44	eV per atom
# Fermi-level density of states	5.3	states/eV per cell
data_HfMgNb3
_space_group_name_H-M_alt 'P m -3 m'
_space_group_IT_number 221
_space_group_name_Hall '-P 4 2 3'
_cell_length_a 4.958
_cell_length_b 4.958
_cell_length_c 4.958
_cell_angle_alpha 90.00
_cell_angle_beta 90.00
_cell_angle_gamma 90.00
loop_
_atom_site_label
_atom_site_fract_x
_atom_site_fract_y
_atom_site_fract_z
Hf1 0.000 0.000 0.000
Mg1 0.500 0.500 0.500
Nb1 0.000 0.000 0.500


No. 2
# Zr2MnS, optimized geometry, DFT GGA-PBE
# uncorrected energy	-118.3	eV/cell
# Fermi-level density of states	16.3	states/eV per cell
# formation energy from raw total energies	0.204	eV per atom
data_Zr2MnS
_space_group_name_H-M_alt 'I -4 2 d'
_space_group_IT_number 122
_space_group_name_Hall 'I -4 2bw'
_cell_length_a 5.634
_cell_length_b 5.634
_cell_length_c 11.817
_cell_angle_alpha 90.00
_cell_angle_beta 90.00
_cell_angle_gamma 90.00
loop_
_atom_site_label
_atom_site_fract_x
_atom_site_fract_y
_atom_site_fract_z
Zr1 0.223 0.250 0.125
Mn1 0.000 0.000 0.000
S1 0.000 0.000 0.500


No. 3
# Na4InH2, optimized geometry, DFT GGA-PBE
# uncorrected energy	-27.5	eV/cell
# Fermi-level density of states	8.3	states/eV per cell
data_Na4InH2
_space_group_name_H-M_alt 'I 4/m m m'
_space_group_IT_number 139
_space_group_name_Hall '-I 4 2'
_cell_length_a 6.056
_cell_length_b 6.056
_cell_length_c 11.961
_cell_angle_alpha 90.00
_cell_angle_beta 90.00
_cell_angle_gamma 90.00
loop_
_atom_site_label
_atom_site_fract_x
_atom_site_fract_y
_atom_site_fract_z
Na1 0.000 0.000 0.245
Na2 0.000 0.500 0.000
In1 0.000 0.000 0.500
H1 0.000 0.000 0.032


No. 4
# Ho7Tl5, optimized geometry, DFT GGA-PBE
# uncorrected energy	-92.6	eV/cell
# ΔE_f	-0.20	eV per atom
# Fermi-level density of states	21.2	states/eV per cell
data_Ho7Tl5
_space_group_name_H-M_alt 'C 1 2/m 1'
_space_group_IT_number 12
_cell_length_a 12.146
_cell_length_b 5.027
_cell_length_c 12.077
_cell_angle_alpha 90.00
_cell_angle_beta 110.17
_cell_angle_gamma 90.00
loop_
_space_group_symop_operation_xyz
'x,y,z'
'-x,-y,-z'
'-x,y,-z'
'x,-y,z'
'x+1/2,y+1/2,z'
'-x+1/2,-y+1/2,-z'
'-x+1/2,y+1/2,-z'
'x+1/2,-y+1/2,z'
loop_
_atom_site_label
_atom_site_fract_x
_atom_site_fract_y
_atom_site_fract_z
Ho1 0.000 0.000 0.000
Ho2 0.071 0.500 0.264
Ho3 0.146 0.000 0.786
Ho4 0.151 0.000 0.503
Tl1 0.000 0.500 0.500
Tl2 0.153 0.500 0.969
Tl3 0.233 0.000 0.282


Question: Which of these has the lowest uncorrected energy?
Answer: Zr2MnS


Question: Among the records above, which one has the highest uncorrected energy?
Answer: Na4InH2